Entry from Alexandria via LeMat-Bulk: K2MnCu after structural relaxation (GGA-PBEsol).

energy of formation	626	meV per atom
polymorph energy (0 for the lowest one)	0.00	kJ per mole of atoms
V	120.3	Å³ per cell
magnetization	1.024	μB/atom

abc: 3.475 3.475 9.963
angles: 90.00 90.00 90.00
Space group P4mm (No. 99)
Symmetry-distinct sites (fractional):
K 0.000 0.000 0.000 x1
K 0.500 0.500 0.413 x1
Mn 0.000 0.000 0.685 x1
Cu 0.500 0.500 0.741 x1